Computed, not measured: crystalline La5Sb2H2 at its relaxed geometry at the GGA-PBE level of DFT.

a b c (Å): 7.3409 7.3409 7.0032
angles (deg): 109.93 109.93 44.02
Last column: nearest neighbours and their distance in Å.
Sites, in units of the cell vectors:
La  0.0000  0.0000  0.0000  2 H 2.48
La  0.1494  0.1494  0.5556  1 H 2.36
La  0.3422  0.3422  0.1256  1 H 2.44
La  0.6578  0.6578  0.8744  1 H 2.44
La  0.8506  0.8506  0.4444  1 H 2.36
Sb  0.4012  0.4012  0.6924  7 La 3.19-3.45
Sb  0.5988  0.5988  0.3076  7 La 3.19-3.45
H  0.1565  0.1565  0.8978  3 La 2.36-2.48
H  0.8435  0.8435  0.1022  3 La 2.36-2.48

Values from the calculation:
- final energy (eV/atom) = -5.028
- SG = C2/m, No. 12
- density of states at the Fermi level (states/eV per atom) = 0.904


Computed, not measured: crystalline La2SbH2 at its relaxed geometry at the GGA-PBE level of DFT.

a b c (Å): 7.8780 6.7484 6.2679
angles (deg): 74.39 55.59 50.02
Last column: nearest neighbours and their distance in Å.
Sites, in units of the cell vectors:
La  0.0650  0.6850  0.0650  4 H 2.38-2.43
La  0.3150  0.9350  0.3150  4 H 2.38-2.43
La  0.6850  0.0650  0.6850  4 H 2.38-2.43
La  0.9350  0.3150  0.9350  4 H 2.38-2.43
Sb  0.3750  0.3750  0.3750  6 La 3.28-3.43, 8 H 3.50-3.64
Sb  0.6250  0.6250  0.6250  6 La 3.28-3.43, 8 H 3.50-3.64
H  0.0083  0.0083  0.2417  4 La 2.38-2.43
H  0.2417  0.2417  0.0083  4 La 2.38-2.43
H  0.7583  0.7583  0.9917  4 La 2.38-2.43
H  0.9917  0.9917  0.7583  4 La 2.38-2.43

Values from the calculation:
- ΔE to the lowest computed polymorph (kJ/mol of formula units) = 28
- final energy (eV/atom) = -4.950
- SG = Fddd, No. 70
- density of states at the Fermi level (states/eV per atom) = 0.498


Computed, not measured: crystalline La4Sb5H at its relaxed geometry at the GGA-PBE level of DFT.

a b c (Å): 8.5927 8.5927 8.5927
angles (deg): 149.69 100.35 87.54
Last column: nearest neighbours and their distance in Å.
Sites, in units of the cell vectors:
La  0.1843  0.1843  0.0000  6 Sb 3.21-3.28
La  0.2937  0.5000  0.7937  1 H 2.27
La  0.7063  0.5000  0.2063  1 H 2.27
La  0.8157  0.8157  0.0000  6 Sb 3.21-3.28
Sb  0.0000  0.5000  0.5000  6 La 3.21-3.23
Sb  0.1454  0.8099  0.3355  4 La 3.28-3.29, 3 Sb 3.29-3.62
Sb  0.4745  0.8099  0.6645  4 La 3.28-3.29, 3 Sb 3.29-3.62
Sb  0.5255  0.1901  0.3355  4 La 3.28-3.29, 3 Sb 3.29-3.62
Sb  0.8546  0.1901  0.6645  4 La 3.28-3.29, 3 Sb 3.29-3.62
H  0.5000  0.5000  0.0000  2 La 2.27

Values from the calculation:
- ΔE to the lowest computed polymorph (kJ/mol of formula units) = 0
- final energy (eV/atom) = -5.216
- SG = Immm, No. 71
- density of states at the Fermi level (states/eV per atom) = 0.621


Computed, not measured: crystalline La4Sb5H at its relaxed geometry at the GGA-PBE level of DFT.

a b c (Å): 9.0056 9.0056 7.2548
angles (deg): 107.70 107.70 39.24
Last column: nearest neighbours and their distance in Å.
Sites, in units of the cell vectors:
La  0.0241  0.0241  0.3011  3 Sb 3.05-3.35, 1 La 3.25
La  0.3605  0.3605  0.0789  1 H 2.61
La  0.6395  0.6395  0.9211  1 H 2.61
La  0.9759  0.9759  0.6989  3 Sb 3.05-3.35, 1 La 3.25
Sb  0.1549  0.1549  0.0951  1 Sb 2.82, 1 La 3.05
Sb  0.1764  0.1764  0.7251  1 Sb 2.82
Sb  0.5000  0.5000  0.5000  6 La 3.20-3.43
Sb  0.8236  0.8236  0.2749  1 Sb 2.82
Sb  0.8451  0.8451  0.9049  1 Sb 2.82, 1 La 3.05
H  0.5000  0.5000  0.0000  2 La 2.61

Values from the calculation:
- ΔE to the lowest computed polymorph (kJ/mol of formula units) = 203
- final energy (eV/atom) = -5.006
- SG = C2/m, No. 12
- density of states at the Fermi level (states/eV per atom) = 0.284


Computed, not measured: crystalline La4Sb2H at its relaxed geometry at the GGA-PBE level of DFT.

a b c (Å): 4.6973 4.6973 18.0958
angles (deg): 90.00 90.00 90.00
Last column: nearest neighbours and their distance in Å.
Sites, in units of the cell vectors:
La  0.0000  0.0000  0.1783  1 H 3.23, 5 Sb 3.33-3.40
La  0.0000  0.0000  0.8217  1 H 3.23, 5 Sb 3.33-3.40
La  0.0000  0.5000  0.0000  2 H 2.35
La  0.0000  0.5000  0.5000  2 H 2.35
La  0.5000  0.0000  0.0000  2 H 2.35
La  0.5000  0.0000  0.5000  2 H 2.35
La  0.5000  0.5000  0.3217  1 H 3.23, 5 Sb 3.33-3.40
La  0.5000  0.5000  0.6783  1 H 3.23, 5 Sb 3.33-3.40
Sb  0.0000  0.0000  0.3624  9 La 3.33-3.42
Sb  0.0000  0.0000  0.6376  9 La 3.33-3.42
Sb  0.5000  0.5000  0.1376  9 La 3.33-3.42
Sb  0.5000  0.5000  0.8624  9 La 3.33-3.42
H  0.0000  0.0000  0.0000  4 La 2.35
H  0.5000  0.5000  0.5000  4 La 2.35

Values from the calculation:
- ΔE to the lowest computed polymorph (kJ/mol of formula units) = 0
- final energy (eV/atom) = -5.360
- SG = I4/mmm, No. 139
- density of states at the Fermi level (states/eV per atom) = 1.201


Computed, not measured: crystalline LaSbH2 at its relaxed geometry at the GGA-PBE level of DFT.

a b c (Å): 4.6238 4.6238 13.7376
angles (deg): 90.00 90.00 90.00
Last column: nearest neighbours and their distance in Å.
Sites, in units of the cell vectors:
La  0.0000  0.0000  0.0000  4 H 2.30
La  0.0000  0.5000  0.2500  4 H 2.30
La  0.5000  0.0000  0.7500  4 H 2.30
La  0.5000  0.5000  0.5000  4 H 2.30
Sb  0.0000  0.0000  0.5000  4 H 2.45
Sb  0.0000  0.5000  0.7500  4 H 2.45
Sb  0.5000  0.0000  0.2500  4 H 2.45
Sb  0.5000  0.5000  0.0000  4 H 2.45
H  0.2171  0.2500  0.1250  2 La 2.30, 2 Sb 2.45
H  0.2500  0.7171  0.3750  2 La 2.30, 2 Sb 2.45
H  0.2500  0.7829  0.8750  2 La 2.30, 2 Sb 2.45
H  0.2829  0.2500  0.6250  2 La 2.30, 2 Sb 2.45
H  0.7171  0.7500  0.6250  2 La 2.30, 2 Sb 2.45
H  0.7500  0.2171  0.8750  2 La 2.30, 2 Sb 2.45
H  0.7500  0.2829  0.3750  2 La 2.30, 2 Sb 2.45
H  0.7829  0.7500  0.1250  2 La 2.30, 2 Sb 2.45

Values from the calculation:
- ΔE to the lowest computed polymorph (kJ/mol of formula units) = 91
- final energy (eV/atom) = -4.213
- SG = I-42d, No. 122
- density of states at the Fermi level (states/eV per atom) = 0.006


density of states at the Fermi level of number 6 (LaSbH2)? 0.006 states/eV per atom